Record 1
Here is crystalline LiMgTlAg at its relaxed geometry from OQMD. Energies are from PBE-GGA.

Lattice parameters (Å, degrees): 6.800 6.800 6.800 90.00 90.00 90.00
Space group F-43m (No. 216)
Unique sites:
Li 0.000 0.000 0.000 [4 per cell]
Mg 0.000 0.000 0.500 [4 per cell]
Tl 0.250 0.250 0.250 [4 per cell]
Ag 0.250 0.250 0.750 [4 per cell]

- Relative energy among the computed polymorphs: 15 meV/atom

=====

Record 2
Here is crystalline LiMgTlAg at its relaxed geometry from OQMD. Energies are from PBE-GGA.

Lattice parameters (Å, degrees): 3.389 3.389 6.852 90.00 90.00 90.00
Space group P4mm (No. 99)
Unique sites:
Li 0.000 0.000 0.000 [1 per cell]
Mg 0.000 0.000 0.553 [1 per cell]
Tl 0.500 0.500 0.252 [1 per cell]
Ag 0.500 0.500 0.787 [1 per cell]

- Relative energy among the computed polymorphs: 0 meV/atom

=====

Record 3
Here is crystalline Li4MgZnAg2 at its relaxed geometry from OQMD. Energies are from PBE-GGA.

Lattice parameters (Å, degrees): 4.481 4.481 6.438 90.00 90.00 90.00
Space group P-4m2 (No. 115)
Unique sites:
Li 0.000 0.000 0.000 [1 per cell]
Li 0.000 0.500 0.727 [2 per cell]
Li 0.500 0.500 0.500 [1 per cell]
Mg 0.500 0.500 0.000 [1 per cell]
Zn 0.000 0.000 0.500 [1 per cell]
Ag 0.000 0.500 0.258 [2 per cell]

=====

Record 4
Here is crystalline LiAgMo at its relaxed geometry from OQMD. Energies are from PBE-GGA.

Lattice parameters (Å, degrees): 6.005 6.005 6.005 90.00 90.00 90.00
Space group F-43m (No. 216)
Unique sites:
Li 0.000 0.000 0.000 [4 per cell]
Ag 0.250 0.250 0.250 [4 per cell]
Mo 0.000 0.000 0.500 [4 per cell]

- Total magnetic moment: 0.01 μB per formula unit
- Relative energy among the computed polymorphs: 0 meV/atom

=====

Record 5
Here is crystalline Li2Ag2Mo3 at its relaxed geometry from OQMD. Energies are from PBE-GGA.

Lattice parameters (Å, degrees): 4.3574 4.3574 20.0579 90.00 90.00 120.00
Space group R3m (No. 160, hexagonal axes)
Unique sites:
Li 0.0000 0.0000 0.0000 [3 per cell]
Li 0.0000 0.0000 0.4265 [3 per cell]
Ag 0.0000 0.0000 0.1303 [3 per cell]
Ag 0.0000 0.0000 0.7122 [3 per cell]
Mo 0.0000 0.0000 0.2725 [3 per cell]
Mo 0.0000 0.0000 0.5701 [3 per cell]
Mo 0.0000 0.0000 0.8649 [3 per cell]

- Total magnetic moment: 0.03 μB per formula unit

=====

Record 6
Here is crystalline LiAgMoS3 at its relaxed geometry from OQMD. Energies are from PBE-GGA.

Lattice parameters (Å, degrees): 3.362 13.378 9.811 90.00 90.00 90.00
Space group Cmcm (No. 63)
Unique sites:
Li 0.000 0.175 0.250 [4 per cell]
Ag 0.000 0.143 0.750 [4 per cell]
Mo 0.000 0.500 0.000 [4 per cell]
S 0.000 0.135 0.509 [8 per cell]
S 0.000 0.458 0.750 [4 per cell]

- Total magnetic moment: 1.72 μB per formula unit

=====

Record 7
Here is crystalline LiAg3MoS4 at its relaxed geometry from OQMD. Energies are from PBE-GGA.

Lattice parameters (Å, degrees): 6.005 6.005 6.005 90.00 90.00 90.00
Space group P-43m (No. 215)
Unique sites:
Li 0.000 0.000 0.000 [1 per cell]
Ag 0.000 0.500 0.500 [3 per cell]
Mo 0.500 0.500 0.500 [1 per cell]
S 0.271 0.271 0.271 [4 per cell]

- Total magnetic moment: 2.00 μB per formula unit

=====

Record 8
Here is crystalline LiAgTe2MoS at its relaxed geometry from OQMD. Energies are from PBE-GGA.

Lattice parameters (Å, degrees): 3.670 14.804 10.438 90.00 90.00 90.00
Space group Cmcm (No. 63)
Unique sites:
Li 0.000 0.156 0.250 [4 per cell]
Ag 0.000 0.070 0.750 [4 per cell]
Te 0.000 0.145 0.517 [8 per cell]
Mo 0.000 0.500 0.000 [4 per cell]
S 0.000 0.449 0.750 [4 per cell]

- Total magnetic moment: 2.00 μB per formula unit

=====

Record 9
Here is crystalline LiAgMoSe3 at its relaxed geometry from OQMD. Energies are from PBE-GGA.

Lattice parameters (Å, degrees): 3.536 13.370 10.254 90.00 90.00 90.00
Space group Cmcm (No. 63)
Unique sites:
Li 0.000 0.236 0.250 [4 per cell]
Ag 0.000 0.075 0.750 [4 per cell]
Mo 0.000 0.500 0.000 [4 per cell]
Se 0.000 0.143 0.521 [8 per cell]
Se 0.000 0.421 0.750 [4 per cell]

- Total magnetic moment: 1.79 μB per formula unit

=====

Record 10
Here is crystalline LiAgTe2MoSe at its relaxed geometry from OQMD. Energies are from PBE-GGA.

Lattice parameters (Å, degrees): 3.764 14.097 10.429 90.00 90.00 90.00
Space group Cmcm (No. 63)
Unique sites:
Li 0.000 0.235 0.250 [4 per cell]
Ag 0.000 0.056 0.750 [4 per cell]
Te 0.000 0.147 0.524 [8 per cell]
Mo 0.000 0.500 0.000 [4 per cell]
Se 0.000 0.423 0.750 [4 per cell]

- Total magnetic moment: 1.97 μB per formula unit

=====

Record 11
Here is crystalline LiAg3Te4Mo at its relaxed geometry from OQMD. Energies are from PBE-GGA.

Lattice parameters (Å, degrees): 6.503 6.503 6.503 90.00 90.00 90.00
Space group P-43m (No. 215)
Unique sites:
Li 0.000 0.000 0.000 [1 per cell]
Ag 0.000 0.500 0.500 [3 per cell]
Te 0.260 0.260 0.260 [4 per cell]
Mo 0.500 0.500 0.500 [1 per cell]

- Total magnetic moment: 2.00 μB per formula unit

=====

Record 12
Here is crystalline LiAgTe3Mo at its relaxed geometry from OQMD. Energies are from PBE-GGA.

Lattice parameters (Å, degrees): 3.879 14.030 10.696 90.00 90.00 90.00
Space group Cmcm (No. 63)
Unique sites:
Li 0.000 0.218 0.250 [4 per cell]
Ag 0.000 0.454 0.750 [4 per cell]
Te 0.000 0.096 0.750 [4 per cell]
Te 0.000 0.357 0.533 [8 per cell]
Mo 0.000 0.000 0.000 [4 per cell]

- Total magnetic moment: 2.05 μB per formula unit

=====

Record 13
Here is crystalline Li5Ag3N3 at its relaxed geometry from OQMD. Energies are from PBE-GGA.

Lattice parameters (Å, degrees): 6.2890 6.2890 4.1252 90.00 90.00 120.00
Space group P-62m (No. 189)
Unique sites:
Li 0.0000 0.7348 0.0000 [3 per cell]
Li 0.3333 0.6667 0.0000 [2 per cell]
Ag 0.0000 0.3639 0.5000 [3 per cell]
N 0.0000 0.3648 0.0000 [3 per cell]

=====

Record 14
Here is crystalline LiNbAgS3 at its relaxed geometry from OQMD. Energies are from PBE-GGA.

Lattice parameters (Å, degrees): 3.485 12.724 9.928 90.00 90.00 90.00
Space group Cmcm (No. 63)
Unique sites:
Li 0.000 0.232 0.250 [4 per cell]
Nb 0.000 0.500 0.000 [4 per cell]
Ag 0.000 0.064 0.750 [4 per cell]
S 0.000 0.140 0.530 [8 per cell]
S 0.000 0.412 0.750 [4 per cell]

- Total magnetic moment: 0.41 μB per formula unit

=====

Record 15
Here is crystalline LiNb2AgS4 at its relaxed geometry from OQMD. Energies are from PBE-GGA.

Lattice parameters (Å, degrees): 3.3712 3.3712 15.5501 90.00 90.00 120.00
Space group P-3m1 (No. 164)
Unique sites:
Li 0.0000 0.0000 0.0000 [1 per cell]
Nb 0.3333 0.6667 0.7541 [2 per cell]
Ag 0.0000 0.0000 0.5000 [1 per cell]
S 0.0000 0.0000 0.1452 [2 per cell]
S 0.0000 0.0000 0.3451 [2 per cell]

- Total magnetic moment: 0.00 μB per formula unit

=====

Record 16
Here is crystalline LiNbAgSe2S at its relaxed geometry from OQMD. Energies are from PBE-GGA.

Lattice parameters (Å, degrees): 3.648 13.369 10.130 90.00 90.00 90.00
Space group Cmcm (No. 63)
Unique sites:
Li 0.000 0.198 0.250 [4 per cell]
Nb 0.000 0.500 0.000 [4 per cell]
Ag 0.000 0.072 0.750 [4 per cell]
Se 0.000 0.144 0.521 [8 per cell]
S 0.000 0.432 0.750 [4 per cell]

- Total magnetic moment: 0.79 μB per formula unit

=====

Record 17
Here is crystalline LiNbAgSeS2 at its relaxed geometry from OQMD. Energies are from PBE-GGA.

Lattice parameters (Å, degrees): 3.499 12.953 10.104 90.00 90.00 90.00
Space group Cmcm (No. 63)
Unique sites:
Li 0.000 0.242 0.250 [4 per cell]
Nb 0.000 0.000 0.000 [4 per cell]
Ag 0.000 0.441 0.750 [4 per cell]
Se 0.000 0.099 0.750 [4 per cell]
S 0.000 0.363 0.535 [8 per cell]

- Total magnetic moment: 0.38 μB per formula unit

=====

Record 18
Here is crystalline LiNbAgSe3 at its relaxed geometry from OQMD. Energies are from PBE-GGA.

Lattice parameters (Å, degrees): 3.635 13.211 10.196 90.00 90.00 90.00
Space group Cmcm (No. 63)
Unique sites:
Li 0.000 0.228 0.250 [4 per cell]
Nb 0.000 0.000 0.000 [4 per cell]
Ag 0.000 0.459 0.750 [4 per cell]
Se 0.000 0.103 0.750 [4 per cell]
Se 0.000 0.357 0.541 [8 per cell]

- Total magnetic moment: 0.59 μB per formula unit

=====

Record 19
Here is crystalline LiNbAgTeSe2 at its relaxed geometry from OQMD. Energies are from PBE-GGA.

Lattice parameters (Å, degrees): 3.614 13.791 10.404 90.00 90.00 90.00
Space group Cmcm (No. 63)
Unique sites:
Li 0.000 0.201 0.250 [4 per cell]
Nb 0.000 0.000 0.000 [4 per cell]
Ag 0.000 0.463 0.750 [4 per cell]
Te 0.000 0.116 0.750 [4 per cell]
Se 0.000 0.362 0.546 [8 per cell]

- Total magnetic moment: 0.27 μB per formula unit

=====

Record 20
Here is crystalline LiNdAg3O4 at its relaxed geometry from OQMD. Energies are from PBE-GGA.

Lattice parameters (Å, degrees): 5.480 5.480 5.480 90.00 90.00 90.00
Space group P-43m (No. 215)
Unique sites:
Li 0.000 0.000 0.000 [1 per cell]
Nd 0.500 0.500 0.500 [1 per cell]
Ag 0.000 0.500 0.500 [3 per cell]
O 0.258 0.258 0.258 [4 per cell]

- Total magnetic moment: 1.00 μB per formula unit

=====

Record 21
Here is crystalline LiNd2AgS2O2 at its relaxed geometry from OQMD. Energies are from PBE-GGA.

Lattice parameters (Å, degrees): 3.984 3.984 8.859 90.00 90.00 90.00
Space group P-4m2 (No. 115)
Unique sites:
Li 0.000 0.000 0.000 [1 per cell]
Nd 0.000 0.500 0.364 [2 per cell]
Ag 0.500 0.500 0.000 [1 per cell]
S 0.000 0.500 0.817 [2 per cell]
O 0.000 0.000 0.500 [1 per cell]
O 0.500 0.500 0.500 [1 per cell]

- Total magnetic moment: 0.00 μB per formula unit

=====

Record 22
Here is crystalline LiNd2AgSe2O2 at its relaxed geometry from OQMD. Energies are from PBE-GGA.

Lattice parameters (Å, degrees): 4.058 4.058 9.135 90.00 90.00 90.00
Space group P-4m2 (No. 115)
Unique sites:
Li 0.000 0.000 0.000 [1 per cell]
Nd 0.000 0.500 0.371 [2 per cell]
Ag 0.500 0.500 0.000 [1 per cell]
Se 0.000 0.500 0.810 [2 per cell]
O 0.000 0.000 0.500 [1 per cell]
O 0.500 0.500 0.500 [1 per cell]

- Total magnetic moment: 0.01 μB per formula unit

=====

Record 23
Here is crystalline LiNd2AgP2 at its relaxed geometry from OQMD. Energies are from PBE-GGA.

Lattice parameters (Å, degrees): 4.2395 4.2395 7.9346 90.00 90.00 120.00
Space group P-6m2 (No. 187)
Unique sites:
Li 0.0000 0.0000 0.0000 [1 per cell]
Nd 0.6667 0.3333 0.2446 [2 per cell]
Ag 0.3333 0.6667 0.5000 [1 per cell]
P 0.0000 0.0000 0.5000 [1 per cell]
P 0.3333 0.6667 0.0000 [1 per cell]

- Total magnetic moment: 0.27 μB per formula unit

=====

Asked for total energy across the records above, the calculation gives -2.338 -2.354 -2.210 -4.082 -5.717 -5.049 -4.458 -4.500 -4.644 -4.378 -3.856 -4.288 -3.949 -5.158 -6.112 -4.880 -5.031 -4.754 -4.645 -4.548 -6.209 -6.031 -5.060 eV/atom in order.
Asked for V across the records above, the calculation gives 19.66 19.68 16.16 18.04 15.71 18.39 24.06 23.63 20.20 23.06 30.56 24.25 12.85 18.35 19.13 20.58 19.08 20.40 21.60 18.28 17.58 18.81 20.58 Å³ per atom in order.